# 1
# PBE-GGA SrGdCdAg, optimized geometry
# - formation enthalpy at 0 K (eV/atom) = -0.239
# - magnetization (μB per cell) = 28.7
# - mass density (g cm⁻³) = 6.79
# - SG = F-43m, No. 216
data_SrGdCdAg
_chemical_formula_sum 'Sr4 Gd4 Cd4 Ag4'
_cell_length_a 7.691
_cell_length_b 7.691
_cell_length_c 7.691
_cell_angle_alpha 90.00
_cell_angle_beta 90.00
_cell_angle_gamma 90.00
_space_group_name_H-M_alt 'P 1'
_space_group_IT_number 1
_space_group_name_Hall 'P 1'
loop_
_atom_site_label
_atom_site_fract_x
_atom_site_fract_y
_atom_site_fract_z
_atom_site_occupancy
Sr1 0.000 0.000 0.000 1
Sr2 0.000 0.500 0.500 1
Sr3 0.500 0.000 0.500 1
Sr4 0.500 0.500 0.000 1
Gd1 0.000 0.000 0.500 1
Gd2 0.000 0.500 0.000 1
Gd3 0.500 0.000 0.000 1
Gd4 0.500 0.500 0.500 1
Cd1 0.250 0.250 0.750 1
Cd2 0.250 0.750 0.250 1
Cd3 0.750 0.250 0.250 1
Cd4 0.750 0.750 0.750 1
Ag1 0.250 0.250 0.250 1
Ag2 0.250 0.750 0.750 1
Ag3 0.750 0.250 0.750 1
Ag4 0.750 0.750 0.250 1

=====

# 2
# PBE-GGA GdTlCdAg, optimized geometry
# - formation enthalpy at 0 K (eV/atom) = -0.239
# - magnetization (μB per cell) = 28.2
# - mass density (g cm⁻³) = 10.21
# - SG = F-43m, No. 216
data_GdTlCdAg
_chemical_formula_sum 'Gd4 Tl4 Cd4 Ag4'
_cell_length_a 7.233
_cell_length_b 7.233
_cell_length_c 7.233
_cell_angle_alpha 90.00
_cell_angle_beta 90.00
_cell_angle_gamma 90.00
_space_group_name_H-M_alt 'P 1'
_space_group_IT_number 1
_space_group_name_Hall 'P 1'
loop_
_atom_site_label
_atom_site_fract_x
_atom_site_fract_y
_atom_site_fract_z
_atom_site_occupancy
Gd1 0.000 0.000 0.000 1
Gd2 0.000 0.500 0.500 1
Gd3 0.500 0.000 0.500 1
Gd4 0.500 0.500 0.000 1
Tl1 0.250 0.250 0.250 1
Tl2 0.250 0.750 0.750 1
Tl3 0.750 0.250 0.750 1
Tl4 0.750 0.750 0.250 1
Cd1 0.000 0.000 0.500 1
Cd2 0.000 0.500 0.000 1
Cd3 0.500 0.000 0.000 1
Cd4 0.500 0.500 0.500 1
Ag1 0.250 0.250 0.750 1
Ag2 0.250 0.750 0.250 1
Ag3 0.750 0.250 0.250 1
Ag4 0.750 0.750 0.750 1

=====

# 3
# PBE-GGA GdYCdAg, optimized geometry
# - formation enthalpy at 0 K (eV/atom) = -0.314
# - magnetization (μB per cell) = 29.3
# - mass density (g cm⁻³) = 7.56
# - SG = F-43m, No. 216
data_GdYCdAg
_chemical_formula_sum 'Gd4 Y4 Cd4 Ag4'
_cell_length_a 7.427
_cell_length_b 7.427
_cell_length_c 7.427
_cell_angle_alpha 90.00
_cell_angle_beta 90.00
_cell_angle_gamma 90.00
_space_group_name_H-M_alt 'P 1'
_space_group_IT_number 1
_space_group_name_Hall 'P 1'
loop_
_atom_site_label
_atom_site_fract_x
_atom_site_fract_y
_atom_site_fract_z
_atom_site_occupancy
Gd1 0.000 0.000 0.000 1
Gd2 0.000 0.500 0.500 1
Gd3 0.500 0.000 0.500 1
Gd4 0.500 0.500 0.000 1
Y1 0.000 0.000 0.500 1
Y2 0.000 0.500 0.000 1
Y3 0.500 0.000 0.000 1
Y4 0.500 0.500 0.500 1
Cd1 0.250 0.250 0.250 1
Cd2 0.250 0.750 0.750 1
Cd3 0.750 0.250 0.750 1
Cd4 0.750 0.750 0.250 1
Ag1 0.250 0.250 0.750 1
Ag2 0.250 0.750 0.250 1
Ag3 0.750 0.250 0.250 1
Ag4 0.750 0.750 0.750 1

=====

# 4
# PBE-GGA GdZrCdAg, optimized geometry
# - formation enthalpy at 0 K (eV/atom) = -0.099
# - magnetization (μB per cell) = 33.7
# - mass density (g cm⁻³) = 8.27
# - SG = F-43m, No. 216
data_GdZrCdAg
_chemical_formula_sum 'Gd4 Zr4 Cd4 Ag4'
_cell_length_a 7.220
_cell_length_b 7.220
_cell_length_c 7.220
_cell_angle_alpha 90.00
_cell_angle_beta 90.00
_cell_angle_gamma 90.00
_space_group_name_H-M_alt 'P 1'
_space_group_IT_number 1
_space_group_name_Hall 'P 1'
loop_
_atom_site_label
_atom_site_fract_x
_atom_site_fract_y
_atom_site_fract_z
_atom_site_occupancy
Gd1 0.000 0.000 0.000 1
Gd2 0.000 0.500 0.500 1
Gd3 0.500 0.000 0.500 1
Gd4 0.500 0.500 0.000 1
Zr1 0.000 0.000 0.500 1
Zr2 0.000 0.500 0.000 1
Zr3 0.500 0.000 0.000 1
Zr4 0.500 0.500 0.500 1
Cd1 0.250 0.250 0.250 1
Cd2 0.250 0.750 0.750 1
Cd3 0.750 0.250 0.750 1
Cd4 0.750 0.750 0.250 1
Ag1 0.250 0.250 0.750 1
Ag2 0.250 0.750 0.250 1
Ag3 0.750 0.250 0.250 1
Ag4 0.750 0.750 0.750 1

=====

# 5
# PBE-GGA Cd2Ag2Ge, optimized geometry
# - formation enthalpy at 0 K (eV/atom) = 0.139
# - magnetization (μB per cell) = 0.0
# - mass density (g cm⁻³) = 8.22
# - polymorph energy (0 for the lowest one) (meV/atom) = 17
# - SG = P4/mbm, No. 127
data_Cd2Ag2Ge
_chemical_formula_sum 'Cd4 Ag4 Ge2'
_cell_length_a 8.261
_cell_length_b 8.261
_cell_length_c 3.039
_cell_angle_alpha 90.00
_cell_angle_beta 90.00
_cell_angle_gamma 90.00
_space_group_name_H-M_alt 'P 1'
_space_group_IT_number 1
_space_group_name_Hall 'P 1'
loop_
_atom_site_label
_atom_site_fract_x
_atom_site_fract_y
_atom_site_fract_z
_atom_site_occupancy
Cd1 0.131 0.369 0.000 1
Cd2 0.369 0.869 0.000 1
Cd3 0.631 0.131 0.000 1
Cd4 0.869 0.631 0.000 1
Ag1 0.168 0.668 0.500 1
Ag2 0.332 0.168 0.500 1
Ag3 0.668 0.832 0.500 1
Ag4 0.832 0.332 0.500 1
Ge1 0.000 0.000 0.000 1
Ge2 0.500 0.500 0.000 1

=====

# 6
# PBE-GGA Cd2Ag2Ge, optimized geometry
# - formation enthalpy at 0 K (eV/atom) = 0.122
# - magnetization (μB per cell) = 0.0
# - mass density (g cm⁻³) = 8.29
# - polymorph energy (0 for the lowest one) (meV/atom) = 0
# - SG = P4/mbm, No. 127
data_Cd2Ag2Ge
_chemical_formula_sum 'Cd4 Ag4 Ge2'
_cell_length_a 8.125
_cell_length_b 8.125
_cell_length_c 3.116
_cell_angle_alpha 90.00
_cell_angle_beta 90.00
_cell_angle_gamma 90.00
_space_group_name_H-M_alt 'P 1'
_space_group_IT_number 1
_space_group_name_Hall 'P 1'
loop_
_atom_site_label
_atom_site_fract_x
_atom_site_fract_y
_atom_site_fract_z
_atom_site_occupancy
Cd1 0.174 0.326 0.000 1
Cd2 0.326 0.826 0.000 1
Cd3 0.674 0.174 0.000 1
Cd4 0.826 0.674 0.000 1
Ag1 0.124 0.624 0.500 1
Ag2 0.376 0.124 0.500 1
Ag3 0.624 0.876 0.500 1
Ag4 0.876 0.376 0.500 1
Ge1 0.000 0.000 0.500 1
Ge2 0.500 0.500 0.500 1

=====

Short version: final energy = -5.12 -5.29 -6.39 -6.70 -2.29 -2.31 eV per atom, in the order given.
Short version: density of states at the Fermi level = 19.834 11.119 16.568 15.334 5.257 2.201 states/eV/cell, in the order given.